# 1
YCd2Pt | Alexandria via LeMat-Bulk | PBE-GGA | optimized geometry; symmetry = No. 65; size of the total moment = 0.022 μB per atom; energy of formation from the pure elements = -0.214 eV per atom
1.0
2.851 -4.964 0.000
2.851 4.964 0.000
0.000 0.000 3.077
Y Cd Pt
1 2 1
Direct
0.000 0.000 0.000
0.000 0.500 0.500
0.500 0.000 0.500
0.500 0.500 0.000



# 2
NdEu2Pd | Alexandria via LeMat-Bulk | PBE-GGA | optimized geometry; symmetry = No. 123; size of the total moment = 3.565 μB per atom; relative energy among the computed polymorphs = 0 meV/atom; energy of formation from the pure elements = -0.285 eV per atom
1.0
3.667 0.000 0.000
0.000 3.667 0.000
0.000 0.000 9.213
Nd Eu Pd
1 2 1
Direct
0.000 0.000 0.000
0.500 0.500 0.311
0.500 0.500 0.689
0.000 0.000 0.500



# 3
ZnCr2Ag | Alexandria via LeMat-Bulk | PBE-GGA | optimized geometry; symmetry = No. 123; size of the total moment = 0.012 μB per atom; energy of formation from the pure elements = 0.290 eV per atom
1.0
3.794 0.000 0.000
0.000 3.794 0.000
0.000 0.000 4.216
Zn Cr Ag
1 2 1
Direct
0.000 0.000 0.000
0.000 0.500 0.500
0.500 0.000 0.500
0.500 0.500 0.000



# 4
AsPt2Pb | Alexandria via LeMat-Bulk | PBE-GGA | optimized geometry; symmetry = No. 8; size of the total moment = 0.000 μB per atom; energy of formation from the pure elements = -0.169 eV per atom
1.0
4.279 -1.734 0.000
4.279 1.734 0.000
-1.117 0.000 5.682
As Pt Pb
1 2 1
Direct
0.000 0.000 0.000
0.464 0.464 0.314
0.716 0.716 0.051
0.213 0.213 0.567



# 5
MnInSi2Br | Alexandria via LeMat-Bulk | PBE-GGA | optimized geometry; symmetry = No. 123; formation energy (no corrections) = 0.29 eV per atom; size of the total moment = 0.149 μB per atom
1.0
4.437 0.000 0.000
0.000 4.437 0.000
0.000 0.000 5.699
Mn In Si Br
1 1 2 1
Direct
0.000 0.000 0.000
0.500 0.500 0.500
0.000 0.500 0.000
0.500 0.000 0.000
0.000 0.000 0.500



# 6
Ca3ZnGa | Alexandria via LeMat-Bulk | PBE-GGA | optimized geometry; symmetry = No. 221; size of the total moment = 0.000 μB per atom; relative energy among the computed polymorphs = 348 meV/atom; energy of formation from the pure elements = 0.048 eV per atom
1.0
5.745 0.000 0.000
0.000 5.745 0.000
0.000 0.000 5.745
Ca Zn Ga
3 1 1
Direct
0.000 0.000 0.500
0.000 0.500 0.000
0.500 0.000 0.000
0.500 0.500 0.500
0.000 0.000 0.000